## Pr2Sm7Tm2 (PBE)

Data for Pr2Sm7Tm2 after structural relaxation.

Cell lengths 8.0668, 6.2752, 30.9057 Å; angles 122.85, 121.65, 104.72 degrees
Last column: nearest neighbours and their distance in Å.
Fractional positions:
Sm (0.7258, 0.5205, 0.8854)  3 Tm 3.58-3.61, 7 Sm 3.58-3.65, 2 Pr 3.61-3.62
Pr (0.5452, 0.7014, 0.9767)  8 Sm 3.61-3.65, 2 Pr 3.62-3.65, 2 Tm 3.62-3.64
Sm (0.8138, 0.4266, 0.3391)  3 Tm 3.56-3.61, 7 Sm 3.58-3.66, 2 Pr 3.63
Sm (0.6376, 0.1114, 0.9311)  3 Tm 3.58-3.65, 6 Sm 3.60-3.63, 3 Pr 3.62-3.65
Tm (0.8129, 0.9268, 0.8395)  9 Sm 3.56-3.65, 1 Tm 3.59, 2 Pr 3.62-3.64
Pr (0.4548, 0.2986, 0.0233)  8 Sm 3.61-3.65, 2 Pr 3.62-3.65, 2 Tm 3.62-3.64
Tm (0.9046, 0.8363, 0.2942)  9 Sm 3.58-3.64, 1 Tm 3.59, 2 Pr 3.62-3.63
Sm (0.3624, 0.8886, 0.0689)  3 Tm 3.58-3.65, 6 Sm 3.60-3.63, 3 Pr 3.62-3.65
Sm (0.9983, 0.2494, 0.2496)  7 Sm 3.60-3.62, 2 Pr 3.61-3.63, 3 Tm 3.61-3.63
Sm (0.0914, 0.6593, 0.2048)  7 Sm 3.59-3.63, 3 Tm 3.61-3.63, 2 Pr 3.61-3.64
Sm (0.1862, 0.5734, 0.6609)  3 Tm 3.56-3.61, 7 Sm 3.58-3.66, 2 Pr 3.63
Tm (0.1871, 0.0732, 0.1605)  9 Sm 3.56-3.65, 1 Tm 3.59, 2 Pr 3.62-3.64
Sm (0.2742, 0.4795, 0.1146)  3 Tm 3.58-3.61, 7 Sm 3.58-3.65, 2 Pr 3.61-3.62
Pr (0.5458, 0.2055, 0.4774)  2 Pr 3.61-3.63, 2 Tm 3.62-3.63, 8 Sm 3.62-3.64
Tm (0.0954, 0.1637, 0.7058)  9 Sm 3.58-3.64, 1 Tm 3.59, 2 Pr 3.62-3.63
Sm (0.6349, 0.6098, 0.4308)  8 Sm 3.60-3.66, 3 Pr 3.63, 1 Tm 3.64
Sm (0.9086, 0.3407, 0.7952)  7 Sm 3.59-3.63, 3 Tm 3.61-3.63, 2 Pr 3.61-3.64
Pr (0.4542, 0.7945, 0.5226)  2 Pr 3.61-3.63, 2 Tm 3.62-3.63, 8 Sm 3.62-3.64
Sm (0.3651, 0.3902, 0.5692)  8 Sm 3.60-3.66, 3 Pr 3.63, 1 Tm 3.64
Sm (0.2757, 0.9830, 0.6154)  2 Tm 3.58-3.59, 8 Sm 3.59-3.67, 2 Pr 3.62-3.64
Sm (0.0017, 0.7506, 0.7504)  7 Sm 3.60-3.62, 2 Pr 3.61-3.63, 3 Tm 3.61-3.63
Sm (0.7243, 0.0170, 0.3846)  2 Tm 3.58-3.59, 8 Sm 3.59-3.67, 2 Pr 3.62-3.64

Summary:
E = -4.668 eV/atom
formation energy = 0.02 eV/atom
symmetry = P-1 (2)
polymorph energy (0 for the lowest one) = 0 meV/atom

## ZrScInMo (PBE)

Data for ZrScInMo after structural relaxation.

Cell lengths 4.8555, 4.8555, 4.8555 Å; angles 60.00, 60.00, 60.00 degrees
Last column: nearest neighbours and their distance in Å.
Fractional positions:
Zr (0.7500, 0.7500, 0.7500)  4 In 2.97, 4 Mo 2.97
In (0.5000, 0.5000, 0.5000)  4 Zr 2.97, 4 Sc 2.97
Sc (0.2500, 0.2500, 0.2500)  4 In 2.97, 4 Mo 2.97
Mo (0.0000, 0.0000, 0.0000)  4 Sc 2.97, 4 Zr 2.97

Summary:
E = -7.232 eV/atom
formation energy = -0.12 eV/atom
symmetry = F-43m (216)

## Pm6P2SeN3 (PBE)

Data for Pm6P2SeN3 after structural relaxation.

Cell lengths 3.8373, 7.8626, 8.7303 Å; angles 104.62, 102.70, 90.00 degrees
Last column: nearest neighbours and their distance in Å.
Fractional positions:
P (0.1648, 0.3311, 0.3296)  6 Pm 2.85-2.87
Pm (0.6625, 0.5983, 0.3250)  3 N 2.66-2.67, 3 P 2.85
N (0.5000, 0.5000, 0.0000)  6 Pm 2.58-2.67
Se (0.5000, 0.0000, 0.0000)  6 Pm 2.92-2.93
Pm (0.6768, 0.0689, 0.3537)  3 N 2.56-2.64, 2 P 2.86
N (0.1678, 0.8346, 0.3355)  6 Pm 2.56-2.66
Pm (0.3375, 0.4017, 0.6750)  3 N 2.66-2.67, 3 P 2.85
Pm (0.0081, 0.7228, 0.0163)  3 N 2.58-2.63, 1 P 2.87
Pm (0.3232, 0.9311, 0.6463)  3 N 2.56-2.64, 2 P 2.86
N (0.8322, 0.1654, 0.6645)  6 Pm 2.56-2.66
Pm (0.9919, 0.2772, 0.9837)  3 N 2.58-2.63, 1 P 2.87
P (0.8352, 0.6689, 0.6704)  6 Pm 2.85-2.87

Summary:
E = -7.123 eV/atom
symmetry = C2/m (12)
formation energy from raw total energies = -17.7 eV per formula unit

## CdW2Br (PBE)

Data for CdW2Br after structural relaxation.

Cell lengths 6.5145, 6.5145, 6.5145 Å; angles 151.73, 135.96, 53.17 degrees
Last column: nearest neighbours and their distance in Å.
Fractional positions:
W (0.0843, 0.0843, 0.0000)  2 W 2.42
Br (0.4512, 0.4512, 0.0000)  2 W 2.92, 2 Br 3.18
Cd (0.7237, 0.2237, 0.5000)  6 W 2.92-2.93, 2 Cd 3.18
W (0.2408, 0.7408, 0.5000)  2 W 2.42

Summary:
E = -6.242 eV/atom
symmetry = Imm2 (44)
polymorph energy (0 for the lowest one) = 497 meV/atom
formation energy from raw total energies = 3.5 eV per formula unit

## CuRhS2 (PBE)

Data for CuRhS2 after structural relaxation.

Cell lengths 5.7131, 6.4240, 3.5299 Å; angles 90.00, 90.00, 90.04 degrees
Last column: nearest neighbours and their distance in Å.
Fractional positions:
S (0.3429, 0.4436, 0.4974)  2 Cu 2.20-2.21, 2 Rh 2.38
Cu (0.8427, 0.6465, 0.9975)  3 S 2.20-2.22
S (0.3426, 0.9951, 0.9978)  1 Cu 2.22, 4 Rh 2.47
Rh (0.5927, 0.1478, 0.4978)  6 S 2.38-2.47
S (0.8429, 0.3005, 0.9978)  1 Cu 2.22, 4 Rh 2.47
S (0.8425, 0.8520, 0.4977)  2 Cu 2.20, 2 Rh 2.38
Rh (0.0927, 0.1478, 0.4978)  6 S 2.38-2.47
Cu (0.3428, 0.6494, 0.9973)  3 S 2.20-2.22

Summary:
E = -5.237 eV/atom
symmetry = Pmma (51)
formation energy from raw total energies = -1.2 eV per formula unit

## YTmPt2 (PBE)

Data for YTmPt2 after structural relaxation.

Cell lengths 3.7686, 4.4355, 5.5937 Å; angles 90.00, 109.76, 90.00 degrees
Last column: nearest neighbours and their distance in Å.
Fractional positions:
Y (0.7223, 0.0000, 0.9833)  7 Pt 2.87-3.05
Pt (0.9944, 0.0000, 0.5282)  3 Y 2.87-3.05, 2 Pt 2.88, 4 Tm 2.96
Pt (0.1697, 0.5000, 0.8781)  2 Pt 2.88, 3 Tm 2.90-3.03, 4 Y 2.96
Tm (0.4446, 0.5000, 0.4284)  7 Pt 2.90-3.03

Summary:
E = -7.042 eV/atom
formation energy = -1.29 eV/atom
symmetry = Pm (6)
polymorph energy (0 for the lowest one) = 0 meV/atom

## RbMgSc3 (PBE)

Data for RbMgSc3 after structural relaxation.

Cell lengths 5.1715, 5.1715, 5.1715 Å; angles 90.00, 90.00, 90.00 degrees
Last column: nearest neighbours and their distance in Å.
Fractional positions:
Sc (0.0000, 0.0000, 0.5000)  2 Rb 2.59
Rb (0.0000, 0.0000, 0.0000)  6 Sc 2.59
Sc (0.0000, 0.5000, 0.0000)  2 Rb 2.59
Mg (0.5000, 0.5000, 0.5000)  12 Sc 3.66
Sc (0.5000, 0.0000, 0.0000)  2 Rb 2.59

Summary:
E = -2.928 eV/atom
formation energy = 1.38 eV/atom
symmetry = Pm-3m (221)
polymorph energy (0 for the lowest one) = 530 meV/atom

## LiMn2Te (PBE)

Data for LiMn2Te after structural relaxation.

Cell lengths 8.9906, 8.9906, 8.9906 Å; angles 20.39, 20.39, 20.39 degrees
Last column: nearest neighbours and their distance in Å.
Fractional positions:
Li (0.7500, 0.7500, 0.7500)  6 Mn 2.88, 6 Li 3.18
Te (0.2500, 0.2500, 0.2500)  6 Mn 2.86, 6 Te 3.18
Mn (0.9995, 0.9995, 0.9995)  3 Te 2.86, 3 Li 2.88, 6 Mn 3.18
Mn (0.5005, 0.5005, 0.5005)  3 Te 2.86, 3 Li 2.88, 6 Mn 3.18

Summary:
E = -5.327 eV/atom
symmetry = R-3m (166)
formation energy from raw total energies = 2.1 eV per formula unit

Q: E of number 1 (Pr2Sm7Tm2)?
A: -4.668 eV/atom

Q: Which value of E does entry 6 give?
A: -7.042 eV/atom

Q: The lowest E belongs to which entry?
A: ZrScInMo